Compound: LaNiAg2F
Source: Alexandria
Functional: GGA+U
Structure: optimized geometry

Calculated volume = 116 Å³ per cell
Electronic total energy = -15.96 eV for the cell shown
Size of the total moment = 0.0 μB per formula unit
D(E_F) = 1.39 states/eV/cell

Lattice parameters (Å, degrees): 4.741 5.143 4.741 90.00 90.00 90.00
Sites, in units of the cell vectors:
Ni (0.000, 0.000, 0.000)
F (0.500, 0.500, 0.500)
Ag (0.000, 0.000, 0.500)
Ag (0.500, 0.000, 0.000)
La (0.000, 0.500, 0.000)